Ga2Os: optimized geometry, PBE.

E_tot in Ha/atom: -0.20816
Symmetry: Fm-3m, No. 225

```
3
Lattice="0.000 2.962 2.962 2.962 0.000 2.962 2.962 2.962 0.000" Properties=species:S:1:pos:R:3 pbc="T T T"
Ga 1.481 1.481 1.481
Ga 4.444 4.444 4.444
Os 0.000 0.000 0.000
```